Entry 1:
The following is a DFT calculation (GGA-PBE) of a geometry-optimized Sm11Tl9Cd4 structure.

Structure (POSCAR):
```
Sm11Tl9Cd4
1.0
3.816 0.000 0.000
0.000 12.839 -5.242
0.000 0.225 13.866
Tl Sm Cd
9 11 4
direct
0.500 0.792 0.959
0.500 0.376 0.851
0.500 0.500 0.500
0.500 0.959 0.792
0.500 0.149 0.624
0.500 0.624 0.149
0.500 0.208 0.041
0.500 0.041 0.208
0.500 0.851 0.376
0.000 0.745 0.745
0.000 0.588 0.933
0.000 0.170 0.830
0.000 0.255 0.255
0.000 0.830 0.170
0.000 0.933 0.588
0.000 0.067 0.412
0.000 0.412 0.067
0.000 0.359 0.641
0.000 0.641 0.359
0.000 0.000 0.000
0.500 0.443 0.261
0.500 0.557 0.739
0.500 0.261 0.443
0.500 0.739 0.557
```

Calculated formation energy ... -315.5 meV per atom
Calculated total energy ... -3.52 eV per atom
Space group ... No. 65

***

Entry 2:
The following is a DFT calculation (GGA-PBE) of a geometry-optimized CsCaTeHAu structure.

Structure (POSCAR):
```
CsCaTeHAu
1.0
-3.477 -1.895 1.239
0.357 -5.513 -0.505
3.671 -2.577 6.494
Cs Au H Ca Te
1 1 1 1 1
direct
0.096 0.522 0.928
0.546 0.616 0.293
0.753 0.192 0.691
0.234 0.234 0.502
0.852 0.003 0.282
```

Calculated total energy ... -3.02 eV per atom
Space group ... No. 1
Energy relative to the lowest polymorph listed for this composition ... 0.202 eV/atom

***

Entry 3:
The following is a DFT calculation (GGA-PBE) of a geometry-optimized GdScInAg structure.

Structure (POSCAR):
```
GdScInAg
1.0
5.132 0.000 0.000
2.566 4.444 0.000
2.566 1.481 4.190
Sc Gd In Ag
1 1 1 1
direct
0.500 0.500 0.500
0.000 0.000 0.000
0.750 0.750 0.750
0.250 0.250 0.250
```

Calculated formation energy ... -368.1 meV per atom
Calculated total energy ... -6.87 eV per atom
Space group ... No. 216